*P*
# Sn2AuSe2 | the Alexandria database | GGA-PBE | relaxed
data_Sn2AuSe2
_cell_length_a 7.947
_cell_length_b 7.947
_cell_length_c 4.038
_cell_angle_alpha 90.00
_cell_angle_beta 90.00
_cell_angle_gamma 90.00
_symmetry_space_group_name_H-M 'P 4/m b m'
_symmetry_Int_Tables_number 127
_symmetry_space_group_name_Hall '-P 4 2ab'
loop_
_atom_site_label
_atom_site_type_symbol
_atom_site_fract_x
_atom_site_fract_y
_atom_site_fract_z
_atom_site_occupancy
Sn1 Sn 0.154 0.346 0.000 1
Au1 Au 0.000 0.000 0.500 1
Se1 Se 0.174 0.674 0.500 1
# Crystal system: tetragonal
# M_tot, μB per cell: 0.00

***

*Q*
# Sn2AuSe2 | the Alexandria database | GGA-PBE | relaxed
data_Sn2AuSe2
_cell_length_a 8.061
_cell_length_b 8.061
_cell_length_c 3.972
_cell_angle_alpha 90.00
_cell_angle_beta 90.00
_cell_angle_gamma 90.00
_symmetry_space_group_name_H-M 'P 4/m b m'
_symmetry_Int_Tables_number 127
_symmetry_space_group_name_Hall '-P 4 2ab'
loop_
_atom_site_label
_atom_site_type_symbol
_atom_site_fract_x
_atom_site_fract_y
_atom_site_fract_z
_atom_site_occupancy
Sn1 Sn 0.197 0.303 0.000 1
Au1 Au 0.000 0.000 0.000 1
Se1 Se 0.135 0.635 0.500 1
# Crystal system: tetragonal
# M_tot, μB per cell: 0.00

***

*R*
# Sn2AuSe2 | the Alexandria database | GGA-PBE | relaxed
data_Sn2AuSe2
_cell_length_a 4.453
_cell_length_b 4.453
_cell_length_c 14.097
_cell_angle_alpha 90.00
_cell_angle_beta 90.00
_cell_angle_gamma 90.00
_symmetry_space_group_name_H-M 'I 4/m m m'
_symmetry_Int_Tables_number 139
_symmetry_space_group_name_Hall '-I 4 2'
loop_
_atom_site_label
_atom_site_type_symbol
_atom_site_fract_x
_atom_site_fract_y
_atom_site_fract_z
_atom_site_occupancy
Sn1 Sn 0.000 0.000 0.117 1
Au1 Au 0.000 0.000 0.500 1
Se1 Se 0.000 0.500 0.250 1
# Crystal system: tetragonal
# M_tot, μB per cell: 0.00

***

*S*
# Sn2AuSe2 | the Alexandria database | GGA-PBE | relaxed
data_Sn2AuSe2
_cell_length_a 5.923
_cell_length_b 5.923
_cell_length_c 8.094
_cell_angle_alpha 90.00
_cell_angle_beta 90.00
_cell_angle_gamma 90.00
_symmetry_space_group_name_H-M 'I 4/m m m'
_symmetry_Int_Tables_number 139
_symmetry_space_group_name_Hall '-I 4 2'
loop_
_atom_site_label
_atom_site_type_symbol
_atom_site_fract_x
_atom_site_fract_y
_atom_site_fract_z
_atom_site_occupancy
Sn1 Sn 0.000 0.500 0.250 1
Au1 Au 0.000 0.000 0.000 1
Se1 Se 0.000 0.000 0.303 1
# Crystal system: tetragonal
# M_tot, μB per cell: 0.00

***

Sorted by energy, starting with the most stable: *S*, *Q*, *P*, *R*.

***

*P*
# SnTe2AuSe | the Alexandria database | GGA-PBE | relaxed
data_SnTe2AuSe
_cell_length_a 5.484
_cell_length_b 5.484
_cell_length_c 5.085
_cell_angle_alpha 90.00
_cell_angle_beta 90.00
_cell_angle_gamma 90.00
_symmetry_space_group_name_H-M 'P 4/m m m'
_symmetry_Int_Tables_number 123
_symmetry_space_group_name_Hall '-P 4 2'
loop_
_atom_site_label
_atom_site_type_symbol
_atom_site_fract_x
_atom_site_fract_y
_atom_site_fract_z
_atom_site_occupancy
Sn1 Sn 0.000 0.000 0.000 1
Te1 Te 0.000 0.500 0.500 1
Au1 Au 0.500 0.500 0.500 1
Se1 Se 0.500 0.500 0.000 1
# Crystal system: tetragonal
# M_tot, μB per cell: 0.00

***

*Q*
# SnTe2AuSe | the Alexandria database | GGA-PBE | relaxed
data_SnTe2AuSe
_cell_length_a 5.763
_cell_length_b 5.763
_cell_length_c 5.082
_cell_angle_alpha 90.00
_cell_angle_beta 90.00
_cell_angle_gamma 90.00
_symmetry_space_group_name_H-M 'P 4/m m m'
_symmetry_Int_Tables_number 123
_symmetry_space_group_name_Hall '-P 4 2'
loop_
_atom_site_label
_atom_site_type_symbol
_atom_site_fract_x
_atom_site_fract_y
_atom_site_fract_z
_atom_site_occupancy
Sn1 Sn 0.000 0.000 0.000 1
Te1 Te 0.000 0.500 0.000 1
Au1 Au 0.000 0.000 0.500 1
Se1 Se 0.500 0.500 0.500 1
# Crystal system: tetragonal
# M_tot, μB per cell: 0.00

***

Sorted by energy, starting with the most stable: *P*, *Q*.